1.
The following is a PBE-GGA calculation of crystalline Ba3Hg4Pb2 at its relaxed geometry, from the Alexandria database.

Cell: 5.271 6.739 10.235 Å, 110.76 90.00 113.02°
Fractional coordinates of all 9 atoms:
Pb 0.390 0.779 0.726
Hg 0.292 0.583 0.966
Pb 0.610 0.221 0.274
Hg 0.070 0.139 0.407
Hg 0.930 0.861 0.593
Ba 0.336 0.672 0.332
Ba 0.000 0.000 0.000
Hg 0.708 0.417 0.034
Ba 0.664 0.328 0.668

Results
mass density = 8.76 g/cm3
Fermi-level density of states = 3.14 states/eV per cell
ΔH_f (0 K) = -0.508 eV per atom
spin magnetization = 0.0 μB per formula unit

***

2.
The following is a PBE-GGA calculation of crystalline LiTh2Bi at its relaxed geometry, from the Alexandria database.

Cell: 5.024 4.714 4.714 Å, 90.00 90.00 90.00°
Fractional coordinates of all 4 atoms:
Th 0.000 0.500 0.000
Th 0.000 0.000 0.500
Li 0.500 0.500 0.500
Bi 0.500 0.000 0.000

Results
mass density = 10.11 g/cm3
Fermi-level density of states = 3.03 states/eV per cell
ΔH_f (0 K) = -0.194 eV per atom
spin magnetization = 0.0 μB per formula unit

***

3.
The following is a PBE-GGA calculation of crystalline K2CuRe at its relaxed geometry, from the Alexandria database.

Cell: 3.342 3.342 10.355 Å, 90.00 90.00 90.00°
Fractional coordinates of all 4 atoms:
Re 0.000 0.000 0.588
K 0.500 0.500 0.334
K 0.000 0.000 0.909
Cu 0.500 0.500 0.670

Results
mass density = 4.71 g/cm3
Fermi-level density of states = 4.11 states/eV per cell
ΔH_f (0 K) = 1.008 eV per atom
spin magnetization = 1.1 μB per formula unit

***

4.
The following is a PBE-GGA calculation of crystalline La3BeP at its relaxed geometry, from the Alexandria database.

Cell: 5.559 5.559 5.559 Å, 90.00 90.00 90.00°
Fractional coordinates of all 5 atoms:
La 0.500 0.000 0.000
Be 0.500 0.500 0.500
P 0.000 0.000 0.000
La 0.000 0.500 0.000
La 0.000 0.000 0.500

Results
mass density = 4.41 g/cm3
Fermi-level density of states = 7.11 states/eV per cell
ΔH_f (0 K) = -0.110 eV per atom
spin magnetization = 0.0 μB per formula unit

***

5.
The following is a PBE-GGA calculation of crystalline Zr2ScSn at its relaxed geometry, from the Alexandria database.

Cell: 3.166 3.166 11.170 Å, 81.85 81.85 60.00°
Fractional coordinates of all 4 atoms:
Sc 0.000 0.000 0.000
Sn 0.500 0.500 0.500
Zr 0.090 0.090 0.730
Zr 0.910 0.910 0.270

Results
mass density = 6.01 g/cm3
Fermi-level density of states = 3.83 states/eV per cell
ΔH_f (0 K) = 0.085 eV per atom
spin magnetization = 0.6 μB per formula unit

***

6.
The following is a PBE-GGA calculation of crystalline ScMn2Cd2 at its relaxed geometry, from the Alexandria database.

Cell: 7.939 7.939 3.051 Å, 90.00 90.00 90.00°
Fractional coordinates of all 10 atoms:
Cd 0.174 0.674 0.500
Cd 0.326 0.174 0.500
Mn 0.377 0.877 0.000
Mn 0.877 0.623 0.000
Sc 0.000 0.000 0.000
Cd 0.826 0.326 0.500
Mn 0.623 0.123 0.000
Cd 0.674 0.826 0.500
Mn 0.123 0.377 0.000
Sc 0.500 0.500 0.000

Results
mass density = 6.56 g/cm3
Fermi-level density of states = 8.59 states/eV per cell
ΔH_f (0 K) = 0.228 eV per atom
spin magnetization = 6.9 μB per formula unit